First-principles (PBE) data for CdGa2As after structural relaxation, as listed in Alexandria.

```
CdGa2As
1.0
0.0000 3.4807 3.4807
3.4807 0.0000 3.4807
3.4807 3.4807 0.0000
As Ga Cd
1 2 1
Direct
0.0000 0.0000 0.0000 As
0.2500 0.2500 0.2500 Ga
0.7500 0.7500 0.7500 Ga
0.5000 0.5000 0.5000 Cd
```

Energy above the most stable polymorph in this dataset = 56 meV/atom
Calculated density = 6.434 g cm⁻³
SG = Fm-3m, No. 225
DFT formation energy = 0.50 eV per formula unit

---

First-principles (PBE) data for TiNiI2 after structural relaxation, as listed in Alexandria.

```
TiNiI2
1.0
-4.3344 -1.0434 -4.1486
-2.3432 -4.3622 3.5452
-6.9342 1.4355 2.4139
I Ni Ti
4 2 2
Direct
0.6583 0.1250 0.2500 I
0.0917 0.6250 0.2500 I
0.3750 0.3417 0.7500 I
0.8750 0.9083 0.7500 I
0.0000 0.0000 0.0000 Ni
0.7500 0.2500 0.5000 Ni
0.5000 0.5000 0.0000 Ti
0.2500 0.7500 0.5000 Ti
```

Energy above the most stable polymorph in this dataset = 0 meV/atom
Calculated density = 5.275 g cm⁻³
SG = I-42d, No. 122
Uncorrected formation energy = 0.12 eV per atom

---

- Which of these has the lowest energy above the most stable polymorph in this dataset?
  TiNiI2